! Mg2Ni6PC, optimized geometry, DFT PBE; values from VASP
&SYSTEM
  ibrav = 0, nat = 20, ntyp = 4
/
ATOMIC_SPECIES
Mg 24.30 Mg.upf
Ni 58.69 Ni.upf
P 30.97 P.upf
C 12.01 C.upf
CELL_PARAMETERS angstrom
5.1592 0.0000 0.0000
0.0000 6.2277 0.0000
0.0000 0.0000 7.7702
ATOMIC_POSITIONS angstrom
Mg 2.5796 4.4396 2.2370
Mg 0.0000 1.7881 6.1221
Mg 2.5796 4.4396 5.5332
Mg 0.0000 1.7881 1.6481
Ni 2.5796 1.0140 2.0148
Ni 2.5796 1.0140 5.7554
Ni 0.0000 5.2137 1.8703
Ni 0.0000 5.2137 5.8999
Ni 1.2113 6.1930 3.8851
Ni 3.9479 6.1930 3.8851
Ni 1.2597 2.5306 3.8851
Ni 3.8996 2.5306 3.8851
Ni 3.8393 3.6971 0.0000
Ni 1.3199 3.6971 0.0000
Ni 1.3683 0.0347 0.0000
Ni 3.7910 0.0347 0.0000
P 0.0000 4.3044 3.8851
P 2.5796 1.9234 0.0000
C 2.5796 1.2271 3.8851
C 0.0000 5.0006 0.0000
! **Space group**: Pmmn, No. 59
! **D(E_F)**: 4.7 states/eV/f.u.
! **Total magnetization**: 0.00 μB/atom
! **Raw total energy**: -110.55 eV per cell
! **ΔH_f (0 K)**: -0.28 eV per atom

---

! Mg3Ni9PC2, optimized geometry, DFT PBE; values from VASP
&SYSTEM
  ibrav = 0, nat = 15, ntyp = 4
/
ATOMIC_SPECIES
Mg 24.30 Mg.upf
Ni 58.69 Ni.upf
P 30.97 P.upf
C 12.01 C.upf
CELL_PARAMETERS angstrom
5.2502 0.0000 0.0000
-2.6251 4.5468 0.0000
0.0000 0.0000 7.6003
ATOMIC_POSITIONS angstrom
Mg 0.0000 3.0312 4.6868
Mg 0.0000 0.0000 0.0000
Mg 2.6251 1.5156 2.9136
Ni 3.9644 0.7424 5.4350
Ni 2.6251 3.0621 5.4350
Ni 1.2859 0.7424 5.4350
Ni 1.3393 3.8044 2.1653
Ni 0.0000 1.4848 2.1653
Ni -1.3393 3.8044 2.1653
Ni 2.6251 0.0000 0.0000
Ni -1.3126 2.2734 0.0000
Ni 1.3126 2.2734 0.0000
P 0.0000 0.0000 3.8002
C 0.0000 3.0312 1.1354
C 2.6251 1.5156 6.4650
! **Space group**: P-3m1, No. 164
! **D(E_F)**: 6.6 states/eV/f.u.
! **Total magnetization**: 0.00 μB/atom
! **Raw total energy**: -84.07 eV per cell
! **ΔH_f (0 K)**: -0.23 eV per atom

---

! MgNi2PdC, optimized geometry, DFT PBE; values from VASP
&SYSTEM
  ibrav = 0, nat = 5, ntyp = 4
/
ATOMIC_SPECIES
Ni 58.69 Ni.upf
Mg 24.30 Mg.upf
C 12.01 C.upf
Pd 106.42 Pd.upf
CELL_PARAMETERS angstrom
-3.2474 -1.9509 0.1421
1.3396 -2.0174 2.9167
-1.5988 2.8588 2.7117
ATOMIC_POSITIONS angstrom
Ni 0.6698 -1.0087 1.4584
Ni -1.6237 -0.9755 0.0711
Mg -1.7533 -0.5547 2.8853
C 0.0000 0.0000 0.0000
Pd -0.7994 1.4294 1.3558
! **Space group**: P4/mmm, No. 123
! **D(E_F)**: 4.3 states/eV/f.u.
! **Total magnetization**: 0.00 μB/atom
! **Raw total energy**: -28.22 eV per cell
! **ΔH_f (0 K)**: -0.13 eV per atom

---

! MgNi2PtC, optimized geometry, DFT PBE; values from VASP
&SYSTEM
  ibrav = 0, nat = 5, ntyp = 4
/
ATOMIC_SPECIES
Ni 58.69 Ni.upf
Mg 24.30 Mg.upf
C 12.01 C.upf
Pt 195.08 Pt.upf
CELL_PARAMETERS angstrom
3.8509 0.0000 0.0000
0.0000 3.8509 0.0000
0.0000 0.0000 4.1496
ATOMIC_POSITIONS angstrom
Ni 0.0000 1.9255 0.0000
Ni 1.9255 0.0000 0.0000
Mg 1.9255 1.9255 2.0748
C 0.0000 0.0000 0.0000
Pt 0.0000 0.0000 2.0748
! **Space group**: P4/mmm, No. 123
! **D(E_F)**: 4.9 states/eV/f.u.
! **Total magnetization**: 0.00 μB/atom
! **Raw total energy**: -29.13 eV per cell
! **ΔH_f (0 K)**: -0.14 eV per atom